No. 1
The following is a DFT calculation (PBE) of crystalline MgSc2SnO at its relaxed geometry.

Geometry as POSCAR:
```
MgSc2SnO
1.0
-2.3643 3.6867 -1.0701
-3.7677 -2.4693 -0.1826
-0.7044 0.7648 4.1910
O Sn Mg Sc
1 1 1 2
direct
0.0000 0.0000 0.0000
0.5000 0.5000 0.5000
0.0000 0.0000 0.5000
0.0000 0.5000 0.0000
0.5000 0.0000 0.0000
```

Calculated values
Energy relative to the elements, uncorrected (meV/atom): -1352
Space-group type: P4/mmm
Crystal system: tetragonal



No. 2
The following is a DFT calculation (PBE) of crystalline W3Br at its relaxed geometry.

Geometry as POSCAR:
```
W3Br
1.0
-0.6227 -6.3459 6.0980
-2.0161 -7.7247 3.7562
1.0284 -7.8051 3.9834
Br W
1 3
direct
0.0000 0.0000 0.0000
0.7547 0.7547 0.7547
0.5000 0.5000 0.5000
0.2453 0.2453 0.2453
```

Calculated values
Energy relative to the elements, uncorrected (meV/atom): 734
Space-group type: R-3m
Crystal system: trigonal



No. 3
The following is a DFT calculation (PBE) of crystalline Tb5Hg7 at its relaxed geometry.

Geometry as POSCAR:
```
Tb5Hg7
1.0
4.9974 -0.0140 -0.9585
-2.5933 4.3781 -0.0086
0.2466 0.1425 14.5737
Hg Tb
7 5
direct
0.3858 0.6943 0.0801
0.5539 0.7780 0.3319
0.6142 0.3057 0.9199
0.1423 0.0724 0.2147
0.8577 0.9276 0.7853
0.0000 0.5000 0.5000
0.4461 0.2220 0.6681
0.7971 0.3988 0.1960
0.2029 0.6012 0.8040
0.0000 0.0000 0.0000
0.7167 0.8585 0.5752
0.2833 0.1415 0.4248
```

Calculated values
Space-group type: C2/m
Crystal system: monoclinic



No. 4
The following is a DFT calculation (PBE) of crystalline CeYCdOs at its relaxed geometry.

Geometry as POSCAR:
```
CeYCdOs
1.0
-2.8367 0.7319 1.6322
-0.4496 -3.2536 0.6775
4.3521 0.8906 7.1645
Y Os Ce Cd
1 1 1 1
direct
0.5000 0.5000 0.7814
0.0000 0.0000 0.5723
0.5000 0.5000 0.3664
0.0000 0.0000 0.0646
```

Calculated values
Space-group type: P4mm
Crystal system: tetragonal



No. 5
The following is a DFT calculation (PBE) of crystalline POsSeN2 at its relaxed geometry.

Geometry as POSCAR:
```
POsSeN2
1.0
3.3672 0.0000 0.0000
0.0000 3.3672 0.0000
0.0000 0.0000 8.5340
Se P Os N
1 1 1 2
direct
0.0000 0.0000 0.5000
0.0000 0.0000 0.0000
0.5000 0.5000 0.5000
0.5000 0.0000 0.0000
0.0000 0.5000 0.0000
```

Calculated values
Energy relative to the elements, uncorrected (meV/atom): 1357
Space-group type: P4/mmm
Crystal system: tetragonal



No. 6
The following is a DFT calculation (PBE) of crystalline SbTe2OsPd at its relaxed geometry.

Geometry as POSCAR:
```
SbTe2OsPd
1.0
5.2801 0.0000 0.0000
0.0000 5.2801 0.0000
0.0000 0.0000 5.0080
Sb Os Pd Te
1 1 1 2
direct
0.0000 0.0000 0.5000
0.0000 0.0000 0.0000
0.5000 0.5000 0.5000
0.5000 0.0000 0.0000
0.0000 0.5000 0.0000
```

Calculated values
Energy relative to the elements, uncorrected (meV/atom): 887
Space-group type: P4/mmm
Crystal system: tetragonal



Short version: total energy = -5.996, -9.400, -2.482, -6.394, -5.998, -4.479 eV/atom, in the order given.